1.
# TaOs2Cl, optimized geometry, DFT PBE
data_TaOs2Cl
_cell_length_a 6.362
_cell_length_b 6.362
_cell_length_c 6.362
_cell_angle_alpha 90.00
_cell_angle_beta 90.00
_cell_angle_gamma 90.00
_space_group_name_H-M_alt 'F m -3 m'
_space_group_IT_number 225
_space_group_name_Hall '-F 4 2 3'
loop_
_atom_site_label
_atom_site_type_symbol
_atom_site_fract_x
_atom_site_fract_y
_atom_site_fract_z
Ta1 Ta 0.000 0.000 0.000
Os1 Os 0.250 0.250 0.250
Cl1 Cl 0.000 0.000 0.500
# V, Å³/cell: 257.5
# Formation energy without anion corrections, eV/atom: 0.936
# Excess energy over the best structure of this formula in the dataset, eV per atom: 0.745

=====

2.
# TaOsCl, optimized geometry, DFT PBE
data_TaOsCl
_cell_length_a 4.2915
_cell_length_b 4.2915
_cell_length_c 2.9871
_cell_angle_alpha 90.00
_cell_angle_beta 90.00
_cell_angle_gamma 120.00
_space_group_name_H-M_alt 'P 3 m 1'
_space_group_IT_number 156
_space_group_name_Hall 'P 3 -2"'
loop_
_atom_site_label
_atom_site_type_symbol
_atom_site_fract_x
_atom_site_fract_y
_atom_site_fract_z
Ta1 Ta 0.0000 0.0000 0.0000
Os1 Os 0.3333 0.6667 0.4687
Cl1 Cl 0.6667 0.3333 0.1234
# V, Å³/cell: 47.6
# Formation energy without anion corrections, eV/atom: 0.366
# Excess energy over the best structure of this formula in the dataset, eV per atom: 0.283

=====

3.
# TaOs3Cl, optimized geometry, DFT PBE
data_TaOs3Cl
_cell_length_a 4.349
_cell_length_b 4.349
_cell_length_c 4.349
_cell_angle_alpha 90.00
_cell_angle_beta 90.00
_cell_angle_gamma 90.00
_space_group_name_H-M_alt 'P m -3 m'
_space_group_IT_number 221
_space_group_name_Hall '-P 4 2 3'
loop_
_atom_site_label
_atom_site_type_symbol
_atom_site_fract_x
_atom_site_fract_y
_atom_site_fract_z
Ta1 Ta 0.000 0.000 0.000
Os1 Os 0.000 0.500 0.500
Cl1 Cl 0.500 0.500 0.500
# V, Å³/cell: 82.3
# Formation energy without anion corrections, eV/atom: 1.646
# Excess energy over the best structure of this formula in the dataset, eV per atom: 0.000

=====

4.
# TaOsCl2, optimized geometry, DFT PBE
data_TaOsCl2
_cell_length_a 6.251
_cell_length_b 6.251
_cell_length_c 6.251
_cell_angle_alpha 90.00
_cell_angle_beta 90.00
_cell_angle_gamma 90.00
_space_group_name_H-M_alt 'F m -3 m'
_space_group_IT_number 225
_space_group_name_Hall '-F 4 2 3'
loop_
_atom_site_label
_atom_site_type_symbol
_atom_site_fract_x
_atom_site_fract_y
_atom_site_fract_z
Ta1 Ta 0.000 0.000 0.000
Os1 Os 0.000 0.000 0.500
Cl1 Cl 0.250 0.250 0.250
# V, Å³/cell: 244.2
# Formation energy without anion corrections, eV/atom: 1.145
# Excess energy over the best structure of this formula in the dataset, eV per atom: 1.510

=====

5.
# TaOsCl2, optimized geometry, DFT PBE
data_TaOsCl2
_cell_length_a 5.012
_cell_length_b 5.012
_cell_length_c 5.286
_cell_angle_alpha 90.00
_cell_angle_beta 90.00
_cell_angle_gamma 90.00
_space_group_name_H-M_alt 'I -4 m 2'
_space_group_IT_number 119
_space_group_name_Hall 'I -4 -2'
loop_
_atom_site_label
_atom_site_type_symbol
_atom_site_fract_x
_atom_site_fract_y
_atom_site_fract_z
Ta1 Ta 0.000 0.000 0.000
Os1 Os 0.000 0.500 0.750
Cl1 Cl 0.000 0.000 0.500
Cl2 Cl 0.000 0.500 0.250
# V, Å³/cell: 132.8
# Formation energy without anion corrections, eV/atom: 0.593
# Excess energy over the best structure of this formula in the dataset, eV per atom: 0.959

=====

6.
# TaOsCl2, optimized geometry, DFT PBE
data_TaOsCl2
_cell_length_a 13.802
_cell_length_b 3.035
_cell_length_c 4.470
_cell_angle_alpha 90.00
_cell_angle_beta 94.48
_cell_angle_gamma 90.00
_space_group_name_H-M_alt 'C 1 2/m 1'
_space_group_IT_number 12
_space_group_name_Hall '-C 2y'
loop_
_atom_site_label
_atom_site_type_symbol
_atom_site_fract_x
_atom_site_fract_y
_atom_site_fract_z
Ta1 Ta 0.000 0.000 0.000
Os1 Os 0.000 0.500 0.500
Cl1 Cl 0.140 0.500 0.220
# V, Å³/cell: 186.7
# Formation energy without anion corrections, eV/atom: -0.037
# Excess energy over the best structure of this formula in the dataset, eV per atom: 0.329

=====

7.
# TaOsCl2, optimized geometry, DFT PBE
data_TaOsCl2
_cell_length_a 2.930
_cell_length_b 3.963
_cell_length_c 5.739
_cell_angle_alpha 90.00
_cell_angle_beta 90.00
_cell_angle_gamma 90.00
_space_group_name_H-M_alt 'P m m m'
_space_group_IT_number 47
_space_group_name_Hall '-P 2 2'
loop_
_atom_site_label
_atom_site_type_symbol
_atom_site_fract_x
_atom_site_fract_y
_atom_site_fract_z
Ta1 Ta 0.000 0.000 0.000
Os1 Os 0.000 0.000 0.500
Cl1 Cl 0.500 0.500 0.238
# V, Å³/cell: 66.6
# Formation energy without anion corrections, eV/atom: 1.152
# Excess energy over the best structure of this formula in the dataset, eV per atom: 1.518

=====

8.
# TaOs2Cl, optimized geometry, DFT PBE
data_TaOs2Cl
_cell_length_a 2.874
_cell_length_b 4.639
_cell_length_c 4.642
_cell_angle_alpha 90.00
_cell_angle_beta 90.00
_cell_angle_gamma 90.00
_space_group_name_H-M_alt 'P m m m'
_space_group_IT_number 47
_space_group_name_Hall '-P 2 2'
loop_
_atom_site_label
_atom_site_type_symbol
_atom_site_fract_x
_atom_site_fract_y
_atom_site_fract_z
Ta1 Ta 0.000 0.000 0.000
Os1 Os 0.000 0.500 0.500
Os2 Os 0.500 0.500 0.000
Cl1 Cl 0.500 0.000 0.500
# V, Å³/cell: 61.9
# Formation energy without anion corrections, eV/atom: 0.686
# Excess energy over the best structure of this formula in the dataset, eV per atom: 0.495

=====

9.
# TaOsCl2, optimized geometry, DFT PBE
data_TaOsCl2
_cell_length_a 3.024
_cell_length_b 4.466
_cell_length_c 14.599
_cell_angle_alpha 90.00
_cell_angle_beta 90.00
_cell_angle_gamma 90.00
_space_group_name_H-M_alt 'I m m m'
_space_group_IT_number 71
_space_group_name_Hall '-I 2 2'
loop_
_atom_site_label
_atom_site_type_symbol
_atom_site_fract_x
_atom_site_fract_y
_atom_site_fract_z
Ta1 Ta 0.000 0.000 0.000
Os1 Os 0.000 0.000 0.500
Cl1 Cl 0.000 0.500 0.357
# V, Å³/cell: 197.2
# Formation energy without anion corrections, eV/atom: 0.164
# Excess energy over the best structure of this formula in the dataset, eV per atom: 0.530

=====

10.
# TaOsCl2, optimized geometry, DFT PBE
data_TaOsCl2
_cell_length_a 6.473
_cell_length_b 6.473
_cell_length_c 6.473
_cell_angle_alpha 90.00
_cell_angle_beta 90.00
_cell_angle_gamma 90.00
_space_group_name_H-M_alt 'F -4 3 m'
_space_group_IT_number 216
_space_group_name_Hall 'F -4 2 3'
loop_
_atom_site_label
_atom_site_type_symbol
_atom_site_fract_x
_atom_site_fract_y
_atom_site_fract_z
Ta1 Ta 0.000 0.000 0.000
Os1 Os 0.250 0.250 0.750
Cl1 Cl 0.000 0.000 0.500
Cl2 Cl 0.250 0.250 0.250
# V, Å³/cell: 271.2
# Formation energy without anion corrections, eV/atom: 0.736
# Excess energy over the best structure of this formula in the dataset, eV per atom: 1.102

=====

11.
# TaOs2Cl, optimized geometry, DFT PBE
data_TaOs2Cl
_cell_length_a 2.8653
_cell_length_b 2.8653
_cell_length_c 30.6488
_cell_angle_alpha 90.00
_cell_angle_beta 90.00
_cell_angle_gamma 120.00
_space_group_name_H-M_alt 'R 3 m'
_space_group_IT_number 160
_space_group_name_Hall 'R 3 -2"'
loop_
_atom_site_label
_atom_site_type_symbol
_atom_site_fract_x
_atom_site_fract_y
_atom_site_fract_z
Ta1 Ta 0.0000 0.0000 0.0000
Os1 Os 0.0000 0.0000 0.4767
Os2 Os 0.0000 0.0000 0.7445
Cl1 Cl 0.0000 0.0000 0.2718
# V, Å³/cell: 217.9
# Formation energy without anion corrections, eV/atom: 0.192
# Excess energy over the best structure of this formula in the dataset, eV per atom: 0.000

=====

12.
# TaOsCl2, optimized geometry, DFT PBE
data_TaOsCl2
_cell_length_a 3.149
_cell_length_b 5.051
_cell_length_c 11.497
_cell_angle_alpha 90.00
_cell_angle_beta 90.00
_cell_angle_gamma 90.00
_space_group_name_H-M_alt 'I m m 2'
_space_group_IT_number 44
_space_group_name_Hall 'I 2 -2'
loop_
_atom_site_label
_atom_site_type_symbol
_atom_site_fract_x
_atom_site_fract_y
_atom_site_fract_z
Ta1 Ta 0.000 0.000 0.000
Os1 Os 0.000 0.500 0.656
Cl1 Cl 0.000 0.000 0.485
Cl2 Cl 0.000 0.500 0.311
# V, Å³/cell: 182.9
# Formation energy without anion corrections, eV/atom: 0.376
# Excess energy over the best structure of this formula in the dataset, eV per atom: 0.742

=====

13.
# TaOs2Cl, optimized geometry, DFT PBE
data_TaOs2Cl
_cell_length_a 2.897
_cell_length_b 4.873
_cell_length_c 10.222
_cell_angle_alpha 90.00
_cell_angle_beta 90.00
_cell_angle_gamma 90.00
_space_group_name_H-M_alt 'C m m 2'
_space_group_IT_number 35
_space_group_name_Hall 'C 2 -2'
loop_
_atom_site_label
_atom_site_type_symbol
_atom_site_fract_x
_atom_site_fract_y
_atom_site_fract_z
Ta1 Ta 0.000 0.000 0.000
Os1 Os 0.000 0.000 0.442
Os2 Os 0.000 0.500 0.231
Cl1 Cl 0.000 0.500 0.801
# V, Å³/cell: 144.3
# Formation energy without anion corrections, eV/atom: 0.550
# Excess energy over the best structure of this formula in the dataset, eV per atom: 0.358

=====

14.
# Ta4OsCl, optimized geometry, DFT PBE
data_Ta4OsCl
_cell_length_a 7.653
_cell_length_b 7.653
_cell_length_c 7.653
_cell_angle_alpha 90.00
_cell_angle_beta 90.00
_cell_angle_gamma 90.00
_space_group_name_H-M_alt 'F -4 3 m'
_space_group_IT_number 216
_space_group_name_Hall 'F -4 2 3'
loop_
_atom_site_label
_atom_site_type_symbol
_atom_site_fract_x
_atom_site_fract_y
_atom_site_fract_z
Ta1 Ta 0.125 0.125 0.125
Os1 Os 0.000 0.000 0.500
Cl1 Cl 0.250 0.250 0.750
# V, Å³/cell: 448.3
# Formation energy without anion corrections, eV/atom: 0.938

=====

15.
# TaOs2Cl, optimized geometry, DFT PBE
data_TaOs2Cl
_cell_length_a 2.910
_cell_length_b 4.155
_cell_length_c 5.242
_cell_angle_alpha 90.00
_cell_angle_beta 104.36
_cell_angle_gamma 90.00
_space_group_name_H-M_alt 'P 1 2/m 1'
_space_group_IT_number 10
_space_group_name_Hall '-P 2y'
loop_
_atom_site_label
_atom_site_type_symbol
_atom_site_fract_x
_atom_site_fract_y
_atom_site_fract_z
Ta1 Ta 0.000 0.000 0.000
Os1 Os 0.356 0.500 0.736
Cl1 Cl 0.000 0.000 0.500
# V, Å³/cell: 61.4
# Formation energy without anion corrections, eV/atom: 0.509
# Excess energy over the best structure of this formula in the dataset, eV per atom: 0.317

=====

16.
# TaOs2Cl, optimized geometry, DFT PBE
data_TaOs2Cl
_cell_length_a 2.928
_cell_length_b 3.666
_cell_length_c 7.821
_cell_angle_alpha 90.00
_cell_angle_beta 90.13
_cell_angle_gamma 90.00
_space_group_name_H-M_alt 'P 1 m 1'
_space_group_IT_number 6
_space_group_name_Hall 'P -2y'
loop_
_atom_site_label
_atom_site_type_symbol
_atom_site_fract_x
_atom_site_fract_y
_atom_site_fract_z
Ta1 Ta 0.000 0.000 0.000
Os1 Os 0.002 0.000 0.329
Os2 Os 0.501 0.500 0.208
Cl1 Cl 0.998 0.500 0.772
# V, Å³/cell: 83.9
# Formation energy without anion corrections, eV/atom: 0.238
# Excess energy over the best structure of this formula in the dataset, eV per atom: 0.046

=====

17.
# TaOsCl, optimized geometry, DFT PBE
data_TaOsCl
_cell_length_a 6.143
_cell_length_b 6.143
_cell_length_c 6.143
_cell_angle_alpha 90.00
_cell_angle_beta 90.00
_cell_angle_gamma 90.00
_space_group_name_H-M_alt 'F -4 3 m'
_space_group_IT_number 216
_space_group_name_Hall 'F -4 2 3'
loop_
_atom_site_label
_atom_site_type_symbol
_atom_site_fract_x
_atom_site_fract_y
_atom_site_fract_z
Ta1 Ta 0.000 0.000 0.000
Os1 Os 0.250 0.250 0.250
Cl1 Cl 0.250 0.250 0.750
# V, Å³/cell: 231.8
# Formation energy without anion corrections, eV/atom: 0.811
# Excess energy over the best structure of this formula in the dataset, eV per atom: 0.728

=====

18.
# TaOsCl, optimized geometry, DFT PBE
data_TaOsCl
_cell_length_a 2.990
_cell_length_b 4.085
_cell_length_c 7.989
_cell_angle_alpha 90.00
_cell_angle_beta 90.00
_cell_angle_gamma 90.00
_space_group_name_H-M_alt 'I m m 2'
_space_group_IT_number 44
_space_group_name_Hall 'I 2 -2'
loop_
_atom_site_label
_atom_site_type_symbol
_atom_site_fract_x
_atom_site_fract_y
_atom_site_fract_z
Ta1 Ta 0.000 0.000 0.000
Os1 Os 0.000 0.000 0.342
Cl1 Cl 0.000 0.000 0.673
# V, Å³/cell: 97.6
# Formation energy without anion corrections, eV/atom: 0.571
# Excess energy over the best structure of this formula in the dataset, eV per atom: 0.488

=====

19.
# TaOs2Cl, optimized geometry, DFT PBE
data_TaOs2Cl
_cell_length_a 8.612
_cell_length_b 2.871
_cell_length_c 5.491
_cell_angle_alpha 90.00
_cell_angle_beta 98.79
_cell_angle_gamma 90.00
_space_group_name_H-M_alt 'C 1 m 1'
_space_group_IT_number 8
_space_group_name_Hall 'C -2y'
loop_
_atom_site_label
_atom_site_type_symbol
_atom_site_fract_x
_atom_site_fract_y
_atom_site_fract_z
Ta1 Ta 0.000 0.000 0.000
Os1 Os 0.183 0.500 0.354
Os2 Os 0.442 0.000 0.517
Cl1 Cl 0.271 0.000 0.874
# V, Å³/cell: 134.2
# Formation energy without anion corrections, eV/atom: 0.457
# Excess energy over the best structure of this formula in the dataset, eV per atom: 0.266

=====

20.
# TaOs3Cl, optimized geometry, DFT PBE
data_TaOs3Cl
_cell_length_a 4.877
_cell_length_b 4.877
_cell_length_c 4.877
_cell_angle_alpha 90.00
_cell_angle_beta 90.00
_cell_angle_gamma 90.00
_space_group_name_H-M_alt 'P m -3 m'
_space_group_IT_number 221
_space_group_name_Hall '-P 4 2 3'
loop_
_atom_site_label
_atom_site_type_symbol
_atom_site_fract_x
_atom_site_fract_y
_atom_site_fract_z
Ta1 Ta 0.000 0.000 0.000
Os1 Os 0.000 0.000 0.500
Cl1 Cl 0.500 0.500 0.500
# V, Å³/cell: 116.0
# Formation energy without anion corrections, eV/atom: 2.500
# Excess energy over the best structure of this formula in the dataset, eV per atom: 0.853